DFT (PBE-GGA) results for crystalline Ce2MnNb3N8 at its relaxed geometry.

Cell: 6.336 6.336 6.672 Å, 61.65 61.65 60.00°
Element x y z (fractional)
N 0.751 0.751 0.220
N 0.265 0.265 0.206
N 0.737 0.737 0.788
N 0.751 0.277 0.220
N 0.253 0.253 0.790
N 0.277 0.751 0.220
N 0.703 0.253 0.790
N 0.253 0.703 0.790
Ce 0.499 0.499 0.503
Ce 0.126 0.126 0.622
Mn 0.881 0.881 0.356
Nb 0.994 0.501 0.005
Nb 0.501 0.501 0.005
Nb 0.501 0.994 0.005

Summary:
For the uncorrected formation energy, the calculation gives -0.88 eV per atom.

=====

DFT (PBE-GGA) results for crystalline TmTh2ScSe4 at its relaxed geometry.

Cell: 3.946 7.524 6.789 Å, 72.23 90.00 90.00°
Element x y z (fractional)
Th 0.000 0.000 0.000
Th 0.500 0.000 0.500
Se 0.000 0.278 0.236
Se 0.500 0.276 0.747
Se 0.000 0.722 0.764
Se 0.500 0.724 0.253
Sc 0.500 0.500 0.000
Tm 0.000 0.500 0.500

Summary:
For the uncorrected formation energy, the calculation gives -1.57 eV per atom.

=====

DFT (PBE-GGA) results for crystalline KIr2Os at its relaxed geometry.

Cell: 7.564 7.564 6.117 Å, 51.81 51.81 90.00°
Element x y z (fractional)
Ir 0.051 0.625 0.250
Ir 0.375 0.301 0.750
Ir 0.875 0.949 0.750
Ir 0.699 0.125 0.250
Os 0.750 0.250 0.500
Os 0.000 0.000 0.000
K 0.500 0.500 0.000
K 0.250 0.750 0.500

Summary:
As for the excess energy over the best structure of this formula in the dataset: 733 meV per atom. For the formation energy from the elements, the calculation gives 469 kJ/mol of formula units.

=====

DFT (PBE-GGA) results for crystalline Mg2TlIn at its relaxed geometry.

Cell: 3.715 5.526 5.924 Å, 117.80 108.27 90.00°
Element x y z (fractional)
In 0.500 0.000 0.000
Mg 0.751 0.751 0.501
Mg 0.249 0.249 0.499
Tl 0.000 0.500 0.000

Summary:
For the formation energy from the elements, the calculation gives 2 kJ/mol of formula units.

=====

DFT (PBE-GGA) results for crystalline Ac2Be2Os2C at its relaxed geometry.

Cell: 4.191 6.102 6.235 Å, 74.06 70.36 69.92°
Element x y z (fractional)
Be 0.791 0.630 0.788
Be 0.209 0.370 0.212
Ac 0.563 0.186 0.688
Ac 0.437 0.814 0.312
C 0.000 0.000 0.000
Os 0.194 0.693 0.918
Os 0.806 0.307 0.082

Summary:
For the formation energy from the elements, the calculation gives -72 kJ/mol of formula units.

=====

DFT (PBE-GGA) results for crystalline Al3RhC at its relaxed geometry.

Cell: 4.003 4.003 4.003 Å, 90.00 90.00 90.00°
Element x y z (fractional)
Al 0.000 0.000 0.500
Al 0.500 0.000 0.000
Al 0.000 0.500 0.000
C 0.000 0.000 0.000
Rh 0.500 0.500 0.500

Summary:
As for the excess energy over the best structure of this formula in the dataset: 0 meV per atom. For the formation energy from the elements, the calculation gives -29 kJ/mol of formula units.

=====

DFT (PBE-GGA) results for crystalline SrCaZnO3 at its relaxed geometry.

Cell: 3.444 7.231 7.830 Å, 97.75 90.00 90.00°
Element x y z (fractional)
O 0.750 0.878 0.149
O 0.250 0.825 0.507
O 0.250 0.590 0.858
O 0.750 0.410 0.142
O 0.750 0.175 0.493
O 0.250 0.122 0.851
Sr 0.750 0.827 0.810
Sr 0.250 0.173 0.190
Ca 0.750 0.365 0.850
Ca 0.250 0.635 0.150
Zn 0.250 0.114 0.602
Zn 0.750 0.886 0.398

Summary:
For the uncorrected formation energy, the calculation gives -2.27 eV per atom.

=====

DFT (PBE-GGA) results for crystalline As2P at its relaxed geometry.

Cell: 5.371 5.353 10.239 Å, 90.00 90.00 90.00°
Element x y z (fractional)
As 0.750 0.442 0.977
As 0.750 0.942 0.523
As 0.250 0.558 0.023
As 0.750 0.564 0.380
As 0.250 0.436 0.620
As 0.250 0.058 0.477
As 0.750 0.064 0.120
As 0.250 0.936 0.880
P 0.250 0.965 0.110
P 0.750 0.035 0.890
P 0.750 0.535 0.610
P 0.250 0.465 0.390

Summary:
As for the excess energy over the best structure of this formula in the dataset: 155 meV per atom. For the formation energy from the elements, the calculation gives 62 kJ/mol of formula units.

=====

Number 1: raw total energy -9.29 eV/atom, mass density 6.21 g cm⁻³. Number 2: raw total energy -6.52 eV/atom, mass density 8.60 g cm⁻³. Number 3: raw total energy -6.30 eV/atom, mass density 12.00 g cm⁻³. Number 4: raw total energy -2.07 eV/atom, mass density 6.07 g cm⁻³. Number 5: raw total energy -6.87 eV/atom, mass density 10.35 g cm⁻³. Number 6: raw total energy -5.62 eV/atom, mass density 5.07 g cm⁻³. Number 7: raw total energy -5.58 eV/atom, mass density 4.14 g cm⁻³. Number 8: raw total energy -4.69 eV/atom, mass density 4.08 g cm⁻³.